Record 1
The following is a PBE calculation of a relaxed structure of GdLuInGa, from the Alexandria database.

Summary:
SG	F-43m
calculated volume	24.517	Å³/atom
E_form	-0.48	eV/atom
E_tot	-105.1	eV for the cell shown

Unit cell a=7.320 b=7.320 c=7.320 alpha=90.00 beta=90.00 gamma=90.00
Atoms (fractional coordinates):
1 Gd 0.000 0.000 0.000
2 Gd 0.000 0.500 0.500
3 Gd 0.500 0.000 0.500
4 Gd 0.500 0.500 0.000
5 Lu 0.000 0.000 0.500
6 Lu 0.000 0.500 0.000
7 Lu 0.500 0.000 0.000
8 Lu 0.500 0.500 0.500
9 In 0.250 0.250 0.250
10 In 0.250 0.750 0.750
11 In 0.750 0.250 0.750
12 In 0.750 0.750 0.250
13 Ga 0.250 0.250 0.750
14 Ga 0.250 0.750 0.250
15 Ga 0.750 0.250 0.250
16 Ga 0.750 0.750 0.750


Record 2
The following is a PBE calculation of a relaxed structure of Tc2IrAu, from the Alexandria database.

Summary:
SG	R3m
calculated volume	15.400	Å³/atom
E above lowest polymorph	0	meV per atom
E_form	0.10	eV/atom
E_tot	-97.4	eV for the cell shown

Unit cell a=2.776 b=2.776 c=27.692 alpha=90.00 beta=90.00 gamma=120.00
Atoms (fractional coordinates):
1 Tc 0.000 0.000 0.000
2 Tc 0.000 0.000 0.257
3 Tc 0.333 0.667 0.667
4 Tc 0.333 0.667 0.924
5 Tc 0.667 0.333 0.333
6 Tc 0.667 0.333 0.590
7 Ir 0.000 0.000 0.512
8 Ir 0.333 0.667 0.178
9 Ir 0.667 0.333 0.845
10 Au 0.000 0.000 0.755
11 Au 0.333 0.667 0.422
12 Au 0.667 0.333 0.089


Record 3
The following is a PBE calculation of a relaxed structure of Be2PtF, from the Alexandria database.

Summary:
SG	Pmm2
calculated volume	12.720	Å³/atom
E above lowest polymorph	114	meV per atom
formation energy from raw total energies	-1.3427	eV per atom
E_tot	-41.5	eV for the cell shown

Unit cell a=2.718 b=6.516 c=5.745 alpha=90.00 beta=90.00 gamma=90.00
Atoms (fractional coordinates):
1 Be 0.000 0.000 0.000
2 Be 0.000 0.000 0.460
3 Be 0.000 0.500 0.291
4 Be 0.500 0.500 0.940
5 Pt 0.500 0.221 0.230
6 Pt 0.500 0.779 0.230
7 F 0.000 0.000 0.730
8 F 0.000 0.500 0.791


Record 4
The following is a PBE calculation of a relaxed structure of MnIn5Pd6, from the Alexandria database.

Summary:
SG	Cmmm
calculated volume	17.462	Å³/atom
E_form	-0.46	eV/atom
E_tot	-59.5	eV for the cell shown

Unit cell a=7.216 b=7.216 c=6.703 alpha=90.00 beta=90.00 gamma=143.10
Atoms (fractional coordinates):
1 Mn 0.000 0.000 0.000
2 In 0.000 0.000 0.500
3 In 0.333 0.667 0.500
4 In 0.338 0.662 0.000
5 In 0.662 0.338 0.000
6 In 0.667 0.333 0.500
7 Pd 0.165 0.835 0.245
8 Pd 0.165 0.835 0.755
9 Pd 0.500 0.500 0.249
10 Pd 0.500 0.500 0.751
11 Pd 0.835 0.165 0.245
12 Pd 0.835 0.165 0.755


Record 5
The following is a PBE calculation of a relaxed structure of CaCuO2, from the Alexandria database.

Summary:
SG	Pnma
calculated volume	11.789	Å³/atom
formation energy from raw total energies	-1.7241	eV per atom
E_tot	-91.6	eV for the cell shown

Unit cell a=5.376 b=3.296 c=10.645 alpha=90.00 beta=90.00 gamma=90.00
Atoms (fractional coordinates):
1 Ca 0.080 0.250 0.139
2 Ca 0.420 0.750 0.639
3 Ca 0.580 0.250 0.361
4 Ca 0.920 0.750 0.861
5 Cu 0.059 0.750 0.388
6 Cu 0.441 0.250 0.888
7 Cu 0.559 0.750 0.112
8 Cu 0.941 0.250 0.612
9 O 0.177 0.250 0.763
10 O 0.232 0.250 0.500
11 O 0.268 0.750 0.000
12 O 0.323 0.750 0.263
13 O 0.677 0.250 0.737
14 O 0.732 0.250 0.000
15 O 0.768 0.750 0.500
16 O 0.823 0.750 0.237


Record 6
The following is a PBE calculation of a relaxed structure of PrY2Tm2, from the Alexandria database.

Summary:
SG	C2/m
calculated volume	32.083	Å³/atom
E above lowest polymorph	0	meV per atom
E_form	0.03	eV/atom
E_tot	-53.0	eV for the cell shown

Unit cell a=6.169 b=6.169 c=11.294 alpha=90.03 beta=90.03 gamma=48.29
Atoms (fractional coordinates):
1 Pr 0.051 0.051 0.154
2 Pr 0.949 0.949 0.846
3 Y 0.349 0.349 0.051
4 Y 0.449 0.449 0.353
5 Y 0.551 0.551 0.647
6 Y 0.651 0.651 0.949
7 Tm 0.150 0.150 0.452
8 Tm 0.251 0.251 0.746
9 Tm 0.749 0.749 0.254
10 Tm 0.850 0.850 0.548


Record 7
The following is a PBE calculation of a relaxed structure of NdTlIn2Cl6, from the Alexandria database.

Summary:
SG	P1
calculated volume	36.382	Å³/atom
formation energy from raw total energies	-1.4511	eV per atom
E_tot	-38.2	eV for the cell shown

Unit cell a=7.905 b=7.913 c=8.118 alpha=90.03 beta=119.13 gamma=119.96
Atoms (fractional coordinates):
1 Nd 0.000 0.000 0.000
2 Tl 0.981 0.491 0.471
3 In 0.399 0.700 0.099
4 In 0.411 0.206 0.617
5 Cl 0.132 0.253 0.795
6 Cl 0.169 0.352 0.270
7 Cl 0.453 0.101 0.269
8 Cl 0.542 0.879 0.795
9 Cl 0.915 0.662 0.795
10 Cl 0.918 0.817 0.270


Record 8
The following is a PBE calculation of a relaxed structure of U4AsP2C, from the Alexandria database.

Summary:
SG	Cmcm
calculated volume	21.355	Å³/atom
E_form	-0.52	eV/atom
E_tot	-148.0	eV for the cell shown

Unit cell a=6.604 b=6.604 c=13.918 alpha=90.00 beta=90.00 gamma=145.75
Atoms (fractional coordinates):
1 U 0.000 0.000 0.000
2 U 0.000 0.000 0.500
3 U 0.284 0.716 0.623
4 U 0.284 0.716 0.877
5 U 0.424 0.576 0.250
6 U 0.576 0.424 0.750
7 U 0.716 0.284 0.123
8 U 0.716 0.284 0.377
9 As 0.096 0.904 0.250
10 As 0.904 0.096 0.750
11 P 0.357 0.643 0.063
12 P 0.357 0.643 0.437
13 P 0.643 0.357 0.563
14 P 0.643 0.357 0.937
15 C 0.172 0.828 0.750
16 C 0.828 0.172 0.250


Record 9
The following is a PBE calculation of a relaxed structure of Mn4V3Ge, from the Alexandria database.

Summary:
SG	Pmmm
calculated volume	11.932	Å³/atom
E_form	-0.25	eV/atom
E_tot	-70.6	eV for the cell shown

Unit cell a=2.911 b=4.041 c=8.115 alpha=90.00 beta=90.00 gamma=90.00
Atoms (fractional coordinates):
1 Mn 0.000 0.000 0.000
2 Mn 0.000 0.000 0.500
3 Mn 0.000 0.500 0.244
4 Mn 0.000 0.500 0.756
5 V 0.500 0.000 0.254
6 V 0.500 0.000 0.746
7 V 0.500 0.500 0.000
8 Ge 0.500 0.500 0.500


Record 10
The following is a PBE calculation of a relaxed structure of Sc2CuCl, from the Alexandria database.

Summary:
SG	P4mm
calculated volume	22.887	Å³/atom
E above lowest polymorph	194	meV per atom
formation energy from raw total energies	-0.4737	eV per atom
E_tot	-20.5	eV for the cell shown

Unit cell a=3.283 b=3.283 c=8.496 alpha=90.00 beta=90.00 gamma=90.00
Atoms (fractional coordinates):
1 Sc 0.000 0.000 0.000
2 Sc 0.500 0.500 0.270
3 Cu 0.500 0.500 0.821
4 Cl 0.000 0.000 0.432


Record 11
The following is a PBE calculation of a relaxed structure of Th2ZrCo, from the Alexandria database.

Summary:
SG	Cmcm
calculated volume	24.484	Å³/atom
E above lowest polymorph	0	meV per atom
E_form	-0.13	eV/atom
E_tot	-124.1	eV for the cell shown

Unit cell a=3.528 b=11.490 c=9.662 alpha=90.00 beta=90.00 gamma=90.00
Atoms (fractional coordinates):
1 Th 0.000 0.132 0.061
2 Th 0.000 0.132 0.439
3 Th 0.000 0.868 0.561
4 Th 0.000 0.868 0.939
5 Th 0.500 0.368 0.561
6 Th 0.500 0.368 0.939
7 Th 0.500 0.632 0.061
8 Th 0.500 0.632 0.439
9 Zr 0.000 0.401 0.250
10 Zr 0.000 0.599 0.750
11 Zr 0.500 0.099 0.750
12 Zr 0.500 0.901 0.250
13 Co 0.000 0.273 0.750
14 Co 0.000 0.727 0.250
15 Co 0.500 0.227 0.250
16 Co 0.500 0.773 0.750


Record 12
The following is a PBE calculation of a relaxed structure of NaErMgIn, from the Alexandria database.

Summary:
SG	F-43m
calculated volume	25.850	Å³/atom
E_form	-0.10	eV/atom
E_tot	-42.4	eV for the cell shown

Unit cell a=7.451 b=7.451 c=7.451 alpha=90.00 beta=90.00 gamma=90.00
Atoms (fractional coordinates):
1 Na 0.000 0.000 0.000
2 Na 0.000 0.500 0.500
3 Na 0.500 0.000 0.500
4 Na 0.500 0.500 0.000
5 Er 0.000 0.000 0.500
6 Er 0.000 0.500 0.000
7 Er 0.500 0.000 0.000
8 Er 0.500 0.500 0.500
9 Mg 0.250 0.250 0.750
10 Mg 0.250 0.750 0.250
11 Mg 0.750 0.250 0.250
12 Mg 0.750 0.750 0.750
13 In 0.250 0.250 0.250
14 In 0.250 0.750 0.750
15 In 0.750 0.250 0.750
16 In 0.750 0.750 0.250


Record 13
The following is a PBE calculation of a relaxed structure of TlMoP2, from the Alexandria database.

Summary:
SG	I-42d
calculated volume	27.183	Å³/atom
E above lowest polymorph	274	meV per atom
E_form	0.18	eV/atom
E_tot	-93.1	eV for the cell shown

Unit cell a=6.156 b=6.156 c=11.477 alpha=90.00 beta=90.00 gamma=90.00
Atoms (fractional coordinates):
1 Tl 0.000 0.000 0.000
2 Tl 0.000 0.500 0.250
3 Tl 0.500 0.000 0.750
4 Tl 0.500 0.500 0.500
5 Mo 0.000 0.000 0.500
6 Mo 0.000 0.500 0.750
7 Mo 0.500 0.000 0.250
8 Mo 0.500 0.500 0.000
9 P 0.149 0.250 0.625
10 P 0.250 0.649 0.875
11 P 0.250 0.851 0.375
12 P 0.351 0.250 0.125
13 P 0.649 0.750 0.125
14 P 0.750 0.149 0.375
15 P 0.750 0.351 0.875
16 P 0.851 0.750 0.625


Record 14
The following is a PBE calculation of a relaxed structure of DyThCuRh, from the Alexandria database.

Summary:
SG	F-43m
calculated volume	21.887	Å³/atom
E above lowest polymorph	111	meV per atom
E_form	-0.49	eV/atom
E_tot	-101.7	eV for the cell shown

Unit cell a=7.049 b=7.049 c=7.049 alpha=90.00 beta=90.00 gamma=90.00
Atoms (fractional coordinates):
1 Dy 0.000 0.000 0.000
2 Dy 0.000 0.500 0.500
3 Dy 0.500 0.000 0.500
4 Dy 0.500 0.500 0.000
5 Th 0.000 0.000 0.500
6 Th 0.000 0.500 0.000
7 Th 0.500 0.000 0.000
8 Th 0.500 0.500 0.500
9 Cu 0.250 0.250 0.750
10 Cu 0.250 0.750 0.250
11 Cu 0.750 0.250 0.250
12 Cu 0.750 0.750 0.750
13 Rh 0.250 0.250 0.250
14 Rh 0.250 0.750 0.750
15 Rh 0.750 0.250 0.750
16 Rh 0.750 0.750 0.250


Record 15
The following is a PBE calculation of a relaxed structure of Ho4Al, from the Alexandria database.

Summary:
SG	Pm-3m
calculated volume	33.686	Å³/atom
E above lowest polymorph	368	meV per atom
E_form	0.34	eV/atom
E_tot	-20.3	eV for the cell shown

Unit cell a=5.523 b=5.523 c=5.523 alpha=90.00 beta=90.00 gamma=90.00
Atoms (fractional coordinates):
1 Ho 0.000 0.000 0.000
2 Ho 0.000 0.500 0.500
3 Ho 0.500 0.000 0.500
4 Ho 0.500 0.500 0.000
5 Al 0.500 0.500 0.500


Record 16
The following is a PBE calculation of a relaxed structure of Sb2OsRhN, from the Alexandria database.

Summary:
SG	P4/mmm
calculated volume	17.975	Å³/atom
E above lowest polymorph	31	meV per atom
formation energy from raw total energies	0.6201	eV per atom
E_tot	-32.1	eV for the cell shown

Unit cell a=4.889 b=4.889 c=3.759 alpha=90.00 beta=90.00 gamma=90.00
Atoms (fractional coordinates):
1 Sb 0.000 0.500 0.000
2 Sb 0.500 0.000 0.000
3 Os 0.000 0.000 0.500
4 Rh 0.500 0.500 0.500
5 N 0.000 0.000 0.000


Record 17
The following is a PBE calculation of a relaxed structure of Na2MgIn3Ga4, from the Alexandria database.

Summary:
SG	P-4m2
calculated volume	24.332	Å³/atom
E_form	-0.08	eV/atom
E_tot	-25.4	eV for the cell shown

Unit cell a=4.414 b=4.414 c=12.486 alpha=90.00 beta=90.00 gamma=90.00
Atoms (fractional coordinates):
1 Na 0.000 0.500 0.238
2 Na 0.500 0.000 0.762
3 Mg 0.500 0.500 0.000
4 In 0.000 0.000 0.000
5 In 0.000 0.500 0.644
6 In 0.500 0.000 0.356
7 Ga 0.000 0.000 0.500
8 Ga 0.000 0.500 0.860
9 Ga 0.500 0.000 0.140
10 Ga 0.500 0.500 0.500


Record 18
The following is a PBE calculation of a relaxed structure of Hf2Ti2Si, from the Alexandria database.

Summary:
SG	P4/mbm
calculated volume	18.598	Å³/atom
formation energy from raw total energies	-0.1463	eV per atom
E_tot	-83.7	eV for the cell shown

Unit cell a=6.721 b=6.721 c=4.117 alpha=90.00 beta=90.00 gamma=90.00
Atoms (fractional coordinates):
1 Hf 0.164 0.336 0.000
2 Hf 0.336 0.836 0.000
3 Hf 0.664 0.164 0.000
4 Hf 0.836 0.664 0.000
5 Ti 0.140 0.640 0.500
6 Ti 0.360 0.140 0.500
7 Ti 0.640 0.860 0.500
8 Ti 0.860 0.360 0.500
9 Si 0.000 0.000 0.500
10 Si 0.500 0.500 0.500


Record 19
The following is a PBE calculation of a relaxed structure of Hg2SbI2Br2, from the Alexandria database.

Summary:
SG	C2/m
calculated volume	41.820	Å³/atom
formation energy from raw total energies	-0.2669	eV per atom
E_tot	-26.1	eV for the cell shown

Unit cell a=17.327 b=4.318 c=8.740 alpha=90.00 beta=116.46 gamma=90.00
Atoms (fractional coordinates):
1 Hg 0.171 0.000 0.277
2 Hg 0.329 0.500 0.723
3 Hg 0.671 0.500 0.277
4 Hg 0.829 0.000 0.723
5 Sb 0.000 0.000 0.000
6 Sb 0.500 0.500 0.000
7 I 0.052 0.500 0.816
8 I 0.448 0.000 0.184
9 I 0.552 0.000 0.816
10 I 0.948 0.500 0.184
11 Br 0.206 0.000 0.639
12 Br 0.294 0.500 0.361
13 Br 0.706 0.500 0.639
14 Br 0.794 0.000 0.361


Record 20
The following is a PBE calculation of a relaxed structure of MgGa2Ag4, from the Alexandria database.

Summary:
SG	Fddd
calculated volume	18.572	Å³/atom
E above lowest polymorph	0	meV per atom
E_form	-0.03	eV/atom
E_tot	-38.6	eV for the cell shown

Unit cell a=10.469 b=9.311 c=6.088 alpha=82.82 beta=61.94 gamma=35.24
Atoms (fractional coordinates):
1 Mg 0.125 0.125 0.125
2 Mg 0.875 0.875 0.875
3 Ga 0.154 0.154 0.596
4 Ga 0.404 0.404 0.846
5 Ga 0.596 0.596 0.154
6 Ga 0.846 0.846 0.404
7 Ag 0.219 0.724 0.280
8 Ag 0.276 0.781 0.723
9 Ag 0.277 0.280 0.724
10 Ag 0.280 0.277 0.219
11 Ag 0.720 0.723 0.781
12 Ag 0.723 0.720 0.276
13 Ag 0.724 0.219 0.277
14 Ag 0.781 0.276 0.720